[1]
The following is a DFT calculation (PBE) of a geometry-optimized RbTiS2Cl structure.

Computed properties:
Its energy above the most stable polymorph in this dataset is 2266.3 meV per atom. For the total magnetization, the calculation gives 1.24 μB per formula unit.

Cell lengths 5.4279, 5.4279, 5.5896 Å; angles 90.00, 90.00, 90.00 degrees
Space group P4/mmm (No. 123)
Asymmetric unit:
Rb: 0.0000 0.0000 0.0000 x1
Ti: 0.5000 0.5000 0.5000 x1
S: 0.0000 0.5000 0.0000 x2
Cl: 0.0000 0.0000 0.5000 x1


[2]
The following is a DFT calculation (PBE) of a geometry-optimized Tb2Zn5CdRu2 structure.

Computed properties:
For the total magnetization, the calculation gives 0.00 μB per formula unit. The calculation puts the energy relative to the elements at -0.179 eV/atom.

Cell lengths 9.4850, 9.4850, 4.1467 Å; angles 90.00, 90.00, 90.00 degrees
Space group P4/mbm (No. 127)
Asymmetric unit:
Tb: 0.1760 0.3240 0.0000 x4
Zn: 0.0000 0.5000 0.5000 x2
Zn: 0.0638 0.7863 0.5000 x8
Cd: 0.0000 0.0000 0.0000 x2
Ru: 0.1204 0.6204 0.0000 x4


[3]
The following is a DFT calculation (PBE) of a geometry-optimized Nd2CuAg2Pd5 structure.

Computed properties:
For the total magnetization, the calculation gives 0.00 μB per formula unit. The calculation puts the energy relative to the elements at -0.373 eV/atom.

Cell lengths 9.7848, 9.7848, 4.0213 Å; angles 90.00, 90.00, 90.00 degrees
Space group P4/mbm (No. 127)
Asymmetric unit:
Nd: 0.1747 0.3253 0.0000 x4
Cu: 0.0000 0.0000 0.0000 x2
Ag: 0.1255 0.6255 0.0000 x4
Pd: 0.0000 0.5000 0.5000 x2
Pd: 0.0511 0.8055 0.5000 x8


[4]
The following is a DFT calculation (PBE) of a geometry-optimized Sm6Ge2As3Cl structure.

Computed properties:
For the total energy, the calculation gives -5.766 eV/atom. For the total magnetization, the calculation gives 0.00 μB per formula unit.

Cell lengths 18.3588, 4.1800, 8.4911 Å; angles 90.00, 103.28, 90.00 degrees
Space group C2/m (No. 12)
Asymmetric unit:
Sm: 0.0014 0.0000 0.2651 x4
Sm: 0.1670 0.5000 0.5846 x4
Sm: 0.1703 0.5000 0.0855 x4
Ge: 0.1648 0.0000 0.3294 x4
As: 0.0000 0.5000 0.5000 x2
As: 0.1633 0.0000 0.8352 x4
Cl: 0.0000 0.5000 0.0000 x2


[5]
The following is a DFT calculation (PBE) of a geometry-optimized BaNaMoAu2 structure.

Computed properties:
For the total magnetization, the calculation gives 0.89 μB per formula unit. The calculation puts the energy relative to the elements at 0.409 eV/atom.

Cell lengths 5.1782, 5.1782, 5.3840 Å; angles 90.00, 90.00, 90.00 degrees
Space group P4/mmm (No. 123)
Asymmetric unit:
Ba: 0.0000 0.0000 0.0000 x1
Na: 0.5000 0.5000 0.0000 x1
Mo: 0.5000 0.5000 0.5000 x1
Au: 0.0000 0.5000 0.5000 x2


[6]
The following is a DFT calculation (PBE) of a geometry-optimized KZnGeBr5 structure.

Computed properties:
For the total energy, the calculation gives -2.893 eV/atom. For the total magnetization, the calculation gives 0.00 μB per formula unit.

Cell lengths 9.4221, 12.3645, 10.2461 Å; angles 90.00, 114.05, 90.00 degrees
Space group C2/c (No. 15)
Asymmetric unit:
K: 0.0000 0.1562 0.2500 x4
Zn: 0.0000 0.1844 0.7500 x4
Ge: 0.0000 0.5000 0.0000 x4
Br: 0.0000 0.4207 0.2500 x4
Br: 0.1162 0.2899 0.6172 x8
Br: 0.1836 0.0654 0.9345 x8


Which formula does entry 2 have?
Tb2Zn5CdRu2


Copy entry 3 word for word.
The following is a DFT calculation (PBE) of a geometry-optimized Nd2CuAg2Pd5 structure.

Computed properties:
For the total magnetization, the calculation gives 0.00 μB per formula unit. The calculation puts the energy relative to the elements at -0.373 eV/atom.

Cell lengths 9.7848, 9.7848, 4.0213 Å; angles 90.00, 90.00, 90.00 degrees
Space group P4/mbm (No. 127)
Asymmetric unit:
Nd: 0.1747 0.3253 0.0000 x4
Cu: 0.0000 0.0000 0.0000 x2
Ag: 0.1255 0.6255 0.0000 x4
Pd: 0.0000 0.5000 0.5000 x2
Pd: 0.0511 0.8055 0.5000 x8


Which formula does entry 1 have?
RbTiS2Cl